# 1
A relaxed In3GaRe crystal. Source: Alexandria via LeMat-Bulk, functional PBE.

Crystal system   cubic
M_tot   0.732 μB per atom
E_tot   -0.12457 hartree per atom

```
In3GaRe
1.0
-1.677 -4.017 2.830
4.596 -2.340 -0.598
1.738 2.312 4.311
In Re Ga
3 1 1
Cartesian
2.298 -1.170 -0.299 In
-0.838 -2.008 1.415 In
0.869 1.156 2.156 In
2.329 -2.022 3.272 Re
0.000 0.000 0.000 Ga
```

---

# 2
A relaxed Ac5La4Pr crystal. Source: Alexandria via LeMat-Bulk, functional PBE.

Crystal system   tetragonal
M_tot   0.000 μB per atom
E_tot   -0.16456 hartree per atom

```
Ac5La4Pr
1.0
-0.906 3.429 1.579
-2.698 -1.724 2.195
18.398 -4.081 19.409
La Ac Pr
4 5 1
Cartesian
14.741 -3.270 15.551 La
7.351 -1.631 7.755 La
3.657 -0.811 3.858 La
11.047 -2.451 11.654 La
0.014 0.450 3.803 Ac
7.397 -1.188 11.592 Ac
14.780 -2.826 19.380 Ac
11.088 -2.007 15.485 Ac
3.706 -0.369 7.698 Ac
0.000 0.000 0.000 Pr
```

---

# 3
A relaxed LiSi2Sb crystal. Source: Alexandria via LeMat-Bulk, functional PBE.

Formation energy from raw total energies   0.518 eV per atom
Crystal system   tetragonal
M_tot   0.000 μB per atom
E_tot   -0.13605 hartree per atom

```
LiSi2Sb
1.0
6.346 0.000 0.000
0.000 6.346 0.000
3.173 3.173 5.188
Sb Si Li
2 4 2
Cartesian
6.346 3.173 2.594 Sb
0.000 0.000 0.000 Sb
4.711 1.587 1.297 Si
4.760 4.808 3.891 Si
7.933 7.884 3.891 Si
1.635 4.760 1.297 Si
3.173 6.346 2.594 Li
3.173 3.173 0.000 Li
```

---

# 4
A relaxed Li2CrOs crystal. Source: Alexandria via LeMat-Bulk, functional PBE.

Crystal system   tetragonal
M_tot   0.000 μB per atom
E_tot   -0.20789 hartree per atom

```
Li2CrOs
1.0
3.403 0.000 0.000
0.000 3.403 0.000
1.702 1.702 9.579
Cr Os Li
2 2 4
Cartesian
1.702 3.403 4.790 Cr
1.702 1.702 0.000 Cr
0.000 0.000 0.000 Os
3.403 1.702 4.790 Os
2.564 0.851 2.395 Li
2.553 2.541 7.184 Li
4.254 4.265 7.184 Li
0.840 2.553 2.395 Li
```

---

# 5
A relaxed NaLa2SnO6 crystal. Source: Alexandria via LeMat-Bulk, functional PBE.

Formation energy from raw total energies   -2.411 eV per atom
Crystal system   monoclinic
M_tot   0.109 μB per atom
E_tot   -0.25372 hartree per atom

```
NaLa2SnO6
1.0
-1.752 4.246 3.506
-4.096 -3.759 2.505
5.548 -2.176 5.807
O La Na Sn
12 4 2 2
Cartesian
0.874 0.508 6.430 O
-0.733 -0.260 1.595 O
0.105 1.833 3.943 O
2.270 -2.741 6.001 O
-1.714 -0.927 8.081 O
-1.174 -2.198 5.389 O
0.433 -1.430 10.223 O
-2.571 1.051 5.817 O
-0.405 -3.523 7.875 O
-2.982 -1.384 3.039 O
1.413 -0.762 3.737 O
2.681 -0.306 8.779 O
0.986 -1.547 7.629 La
-2.455 -3.997 3.916 La
2.154 2.308 7.902 La
-1.286 -0.143 4.189 La
-0.876 2.123 1.753 Na
0.726 -2.968 4.156 Na
-2.048 -1.880 1.252 Sn
1.898 1.035 4.657 Sn
```

---

# 6
A relaxed MnTeS2 crystal. Source: Alexandria via LeMat-Bulk, functional PBE.

Formation energy from raw total energies   0.028 eV per atom
Crystal system   tetragonal
M_tot   1.182 μB per atom
E_tot   -0.18792 hartree per atom

```
MnTeS2
1.0
3.933 0.000 0.000
0.000 3.933 0.000
0.000 0.000 5.514
S Mn Te
2 1 1
Cartesian
0.000 0.000 0.000 S
1.966 1.966 2.757 S
0.000 0.000 2.757 Mn
1.966 1.966 0.000 Te
```

---

# 7
A relaxed Hf3Be2Sn2 crystal. Source: Alexandria via LeMat-Bulk, functional PBE.

Crystal system   orthorhombic
M_tot   0.000 μB per atom
E_tot   -0.24647 hartree per atom

```
Hf3Be2Sn2
1.0
3.818 0.000 -0.825
-0.193 3.685 -0.893
-0.037 0.243 9.079
Hf Be Sn
3 2 2
Cartesian
2.594 0.804 2.759 Hf
0.000 0.000 0.000 Hf
0.994 3.123 4.603 Hf
2.018 2.083 0.090 Be
1.571 1.845 7.272 Be
0.389 2.412 1.800 Sn
3.200 1.515 5.561 Sn
```

---

# 8
A relaxed Sc5Tl4Ru crystal. Source: Alexandria via LeMat-Bulk, functional PBE.

Crystal system   tetragonal
M_tot   0.075 μB per atom
E_tot   -0.19802 hartree per atom

```
Sc5Tl4Ru
1.0
-3.226 -0.782 -0.052
0.699 -2.768 -1.695
2.135 -9.951 17.128
Tl Sc Ru
4 5 1
Cartesian
0.395 -1.839 3.166 Tl
0.842 -3.924 6.754 Tl
1.741 -8.111 13.962 Tl
1.293 -6.027 10.373 Tl
-0.196 -6.750 7.690 Sc
-0.648 -4.643 4.063 Sc
0.708 -10.965 14.945 Sc
-1.100 -2.536 0.435 Sc
0.256 -8.857 11.317 Sc
0.000 0.000 0.000 Ru
```